Version a
Hg2Bi2Au: optimized geometry, PBE-GGA.

* magnetic moment: 0.0 μB per formula unit

Cell lengths 7.639, 7.639, 4.976 Å; angles 90.00, 90.00, 90.00 degrees
Atoms (fractional coordinates):
Au1 0.000 0.000 0.000
Au2 0.500 0.500 0.000
Bi1 0.345 0.845 0.000
Bi2 0.845 0.655 0.000
Bi3 0.655 0.155 0.000
Bi4 0.155 0.345 0.000
Hg1 0.160 0.660 0.500
Hg2 0.660 0.840 0.500
Hg3 0.840 0.340 0.500
Hg4 0.340 0.160 0.500

Version b
Hg2Bi2Au: optimized geometry, PBE-GGA.

* magnetic moment: 0.0 μB per formula unit

Cell lengths 7.438, 7.438, 4.821 Å; angles 90.00, 90.00, 90.00 degrees
Atoms (fractional coordinates):
Au1 0.000 0.000 0.000
Au2 0.500 0.500 0.000
Bi1 0.158 0.658 0.500
Bi2 0.658 0.842 0.500
Bi3 0.842 0.342 0.500
Bi4 0.342 0.158 0.500
Hg1 0.353 0.853 0.000
Hg2 0.853 0.647 0.000
Hg3 0.647 0.147 0.000
Hg4 0.147 0.353 0.000

Version c
Hg2Bi2Au: optimized geometry, PBE-GGA.

* magnetic moment: 0.0 μB per formula unit

Cell lengths 5.801, 6.709, 8.222 Å; angles 114.08, 110.65, 90.00 degrees
Atoms (fractional coordinates):
Hg1 0.181 0.850 0.362
Hg2 0.819 0.150 0.638
Hg3 0.319 0.488 0.638
Hg4 0.681 0.512 0.362
Bi1 0.405 0.051 0.810
Bi2 0.595 0.949 0.190
Bi3 0.095 0.241 0.190
Bi4 0.905 0.759 0.810
Au1 0.750 0.500 0.000
Au2 0.250 0.500 0.000

Stability, lowest: version b

Version a
Hg2BiAu2: optimized geometry, PBE-GGA.

* magnetic moment: 0.0 μB per formula unit

Cell lengths 4.119, 4.119, 7.582 Å; angles 74.24, 74.24, 90.00 degrees
Atoms (fractional coordinates):
Au1 0.402 0.402 0.195
Au2 0.598 0.598 0.805
Bi1 0.000 0.000 0.000
Hg1 0.750 0.250 0.500
Hg2 0.250 0.750 0.500

Version b
Hg2BiAu2: optimized geometry, PBE-GGA.

* magnetic moment: 0.0 μB per formula unit

Cell lengths 3.892, 3.892, 8.612 Å; angles 76.94, 76.94, 90.00 degrees
Atoms (fractional coordinates):
Au1 0.750 0.250 0.500
Au2 0.250 0.750 0.500
Bi1 0.000 0.000 0.000
Hg1 0.390 0.390 0.220
Hg2 0.610 0.610 0.780

Version c
Hg2BiAu2: optimized geometry, PBE-GGA.

* magnetic moment: 0.0 μB per formula unit

Cell lengths 8.579, 8.579, 3.107 Å; angles 90.00, 90.00, 90.00 degrees
Atoms (fractional coordinates):
Au1 0.166 0.666 0.500
Au2 0.666 0.834 0.500
Au3 0.834 0.334 0.500
Au4 0.334 0.166 0.500
Bi1 0.000 0.000 0.000
Bi2 0.500 0.500 0.000
Hg1 0.369 0.869 0.000
Hg2 0.869 0.631 0.000
Hg3 0.631 0.131 0.000
Hg4 0.131 0.369 0.000

Stability, lowest: version c

Version a
HgBi4Au2: optimized geometry, PBE-GGA.

* magnetic moment: 0.0 μB per formula unit

Cell lengths 7.536, 7.537, 9.268 Å; angles 113.70, 113.69, 90.77 degrees
Atoms (fractional coordinates):
Hg1 0.251 0.749 0.500
Hg2 0.999 0.001 0.000
Bi1 0.951 0.184 0.362
Bi2 0.299 0.566 0.138
Bi3 0.822 0.588 0.638
Bi4 0.816 0.049 0.638
Bi5 0.412 0.178 0.362
Bi6 0.428 0.162 0.862
Bi7 0.434 0.701 0.862
Bi8 0.838 0.572 0.138
Au1 0.625 0.375 0.750
Au2 0.625 0.875 0.250
Au3 0.625 0.375 0.250
Au4 0.125 0.375 0.750

Version b
HgBi4Au2: optimized geometry, PBE-GGA.

* magnetic moment: 0.0 μB per formula unit

Cell lengths 4.174, 9.748, 9.748 Å; angles 90.00, 90.00, 90.00 degrees
Atoms (fractional coordinates):
Au1 0.000 0.147 0.853
Au2 0.000 0.853 0.147
Au3 0.500 0.647 0.647
Au4 0.500 0.353 0.353
Hg1 0.500 0.000 0.000
Hg2 0.000 0.500 0.500
Bi1 0.000 0.114 0.342
Bi2 0.000 0.886 0.658
Bi3 0.500 0.158 0.614
Bi4 0.500 0.842 0.386
Bi5 0.500 0.386 0.842
Bi6 0.500 0.614 0.158
Bi7 0.000 0.342 0.114
Bi8 0.000 0.658 0.886

Stability, lowest: version b

Version a
HgBiAu3: optimized geometry, PBE-GGA.

* magnetic moment: 0.0 μB per formula unit

Cell lengths 5.393, 6.184, 7.044 Å; angles 90.00, 90.00, 104.82 degrees
Atoms (fractional coordinates):
Hg1 0.570 0.925 0.750
Hg2 0.430 0.075 0.250
Bi1 0.841 0.742 0.250
Bi2 0.159 0.258 0.750
Au1 0.304 0.615 0.452
Au2 0.696 0.385 0.952
Au3 0.696 0.385 0.548
Au4 0.304 0.615 0.048
Au5 0.984 0.233 0.250
Au6 0.016 0.767 0.750

Version b
HgBiAu3: optimized geometry, PBE-GGA.

* magnetic moment: 0.0 μB per formula unit

Cell lengths 5.175, 5.175, 5.175 Å; angles 90.00, 90.00, 90.00 degrees
Atoms (fractional coordinates):
Au1 0.000 0.500 0.000
Au2 0.000 0.000 0.500
Au3 0.500 0.000 0.000
Bi1 0.500 0.500 0.500
Hg1 0.000 0.000 0.000

Version c
HgBiAu3: optimized geometry, PBE-GGA.

* magnetic moment: 0.0 μB per formula unit

Cell lengths 5.434, 5.434, 5.434 Å; angles 90.00, 90.00, 90.00 degrees
Atoms (fractional coordinates):
Au1 0.000 0.500 0.000
Au2 0.000 0.000 0.500
Au3 0.500 0.000 0.000
Bi1 0.000 0.000 0.000
Hg1 0.500 0.500 0.500

Stability, lowest: version b

Version a
LiHgBiAu: optimized geometry, PBE-GGA.

* magnetic moment: 0.0 μB per formula unit

Cell lengths 3.243, 3.243, 9.056 Å; angles 90.00, 90.00, 90.00 degrees
Atoms (fractional coordinates):
Li1 0.500 0.500 0.968
Hg1 0.000 0.000 0.165
Bi1 0.000 0.000 0.508
Au1 0.000 0.000 0.824

Version b
LiHgBiAu: optimized geometry, PBE-GGA.

* magnetic moment: 0.0 μB per formula unit

Cell lengths 4.990, 4.990, 4.990 Å; angles 60.00, 60.00, 60.00 degrees
Atoms (fractional coordinates):
Li1 0.000 0.000 0.000
Au1 0.500 0.500 0.500
Bi1 0.750 0.750 0.750
Hg1 0.250 0.250 0.250

Stability, lowest: version b

Version a
NbHgBi2Au: optimized geometry, PBE-GGA.

* magnetic moment: 2.7 μB per formula unit

Cell lengths 5.513, 5.358, 5.513 Å; angles 90.00, 90.00, 90.00 degrees
Atoms (fractional coordinates):
Nb1 0.000 0.500 0.000
Au1 0.000 0.000 0.000
Bi1 0.000 0.000 0.500
Bi2 0.500 0.000 0.000
Hg1 0.500 0.500 0.500

Version b
NbHgBi2Au: optimized geometry, PBE-GGA.

* magnetic moment: 0.0 μB per formula unit

Cell lengths 5.489, 5.294, 5.489 Å; angles 90.00, 90.00, 90.00 degrees
Atoms (fractional coordinates):
Nb1 0.000 0.000 0.000
Au1 0.000 0.500 0.000
Bi1 0.000 0.000 0.500
Bi2 0.500 0.000 0.000
Hg1 0.500 0.500 0.500

Stability, lowest: version a

Version a
TlHgBiAu: optimized geometry, PBE-GGA.

* magnetic moment: 0.0 μB per formula unit

Cell lengths 4.791, 4.793, 5.791 Å; angles 89.99, 90.00, 119.98 degrees
Atoms (fractional coordinates):
Tl1 0.572 0.144 0.463
Hg1 0.239 0.478 0.194
Bi1 0.905 0.810 0.886
Au1 0.238 0.477 0.696

Version b
TlHgBiAu: optimized geometry, PBE-GGA.

* magnetic moment: 0.0 μB per formula unit

Cell lengths 5.287, 5.287, 5.287 Å; angles 60.00, 60.00, 60.00 degrees
Atoms (fractional coordinates):
Tl1 0.250 0.250 0.250
Au1 0.000 0.000 0.000
Bi1 0.750 0.750 0.750
Hg1 0.500 0.500 0.500

Stability, lowest: version b

Version a
YHg2BiAu: optimized geometry, PBE-GGA.

* magnetic moment: 0.0 μB per formula unit

Cell lengths 5.837, 5.911, 5.837 Å; angles 90.00, 90.00, 90.00 degrees
Atoms (fractional coordinates):
Y1 0.000 0.000 0.000
Au1 0.500 0.500 0.500
Bi1 0.000 0.500 0.000
Hg1 0.000 0.000 0.500
Hg2 0.500 0.000 0.000

Version b
YHg2BiAu: optimized geometry, PBE-GGA.

* magnetic moment: 0.0 μB per formula unit

Cell lengths 5.216, 5.667, 5.216 Å; angles 90.00, 90.00, 90.00 degrees
Atoms (fractional coordinates):
Y1 0.000 0.500 0.000
Au1 0.000 0.000 0.000
Bi1 0.500 0.500 0.500
Hg1 0.000 0.000 0.500
Hg2 0.500 0.000 0.000

Stability, lowest: version a

Version a
HoBiAu4: optimized geometry, PBE-GGA.

* magnetic moment: 0.0 μB per formula unit

Cell lengths 5.683, 5.683, 5.683 Å; angles 60.00, 60.00, 60.00 degrees
Atoms (fractional coordinates):
Au1 0.625 0.625 0.124
Au2 0.625 0.124 0.625
Au3 0.625 0.625 0.625
Au4 0.124 0.625 0.625
Bi1 0.250 0.250 0.250
Ho1 0.000 0.000 0.000

Version b
HoBiAu4: optimized geometry, PBE-GGA.

* magnetic moment: 0.0 μB per formula unit

Cell lengths 4.853, 4.853, 6.425 Å; angles 90.00, 90.00, 120.00 degrees
Atoms (fractional coordinates):
Ho1 0.000 0.000 0.000
Bi1 0.000 0.000 0.500
Au1 0.333 0.667 0.233
Au2 0.333 0.667 0.767
Au3 0.667 0.333 0.233
Au4 0.667 0.333 0.767

Stability, lowest: version a

Version a
Bi2AuI: optimized geometry, PBE-GGA.

* magnetic moment: 0.0 μB per formula unit

Cell lengths 9.190, 9.190, 7.160 Å; angles 50.07, 50.07, 90.00 degrees
Atoms (fractional coordinates):
I1 0.500 0.500 0.000
I2 0.250 0.750 0.500
Au1 0.000 0.000 0.000
Au2 0.750 0.250 0.500
Bi1 0.706 0.125 0.250
Bi2 0.044 0.625 0.250
Bi3 0.375 0.294 0.750
Bi4 0.875 0.956 0.750

Version b
Bi2AuI: optimized geometry, PBE-GGA.

* magnetic moment: 0.0 μB per formula unit

Cell lengths 5.442, 5.442, 5.442 Å; angles 60.00, 60.00, 60.00 degrees
Atoms (fractional coordinates):
I1 0.000 0.000 0.000
Au1 0.500 0.500 0.500
Bi1 0.250 0.250 0.250
Bi2 0.750 0.750 0.750

Stability, lowest: version b

Version a
Bi2AuI: optimized geometry, PBE-GGA.

* magnetic moment: 0.0 μB per formula unit

Cell lengths 4.675, 4.675, 7.676 Å; angles 72.27, 72.27, 60.00 degrees
Atoms (fractional coordinates):
Bi1 0.051 0.051 0.848
Bi2 0.280 0.280 0.161
Au1 0.667 0.667 0.000
I1 0.503 0.503 0.491

Version b
Bi2AuI: optimized geometry, PBE-GGA.

* magnetic moment: 0.0 μB per formula unit

Cell lengths 4.564, 4.564, 7.865 Å; angles 73.13, 73.13, 60.00 degrees
Atoms (fractional coordinates):
I1 0.500 0.500 0.500
Au1 0.000 0.000 0.000
Bi1 0.279 0.279 0.163
Bi2 0.721 0.721 0.837

Stability, lowest: version a